Below is Pr2BePN after structural relaxation, with properties calculated at the PBE level.

extended XYZ file:
```
10
Lattice="-3.037 1.497 1.587 1.520 -2.648 5.404 3.511 7.575 -0.426" Properties=species:S:1:pos:R:3 pbc="T T T"
Pr 1.066 3.643 5.212
Pr -0.978 -0.684 5.381
Pr 0.927 2.781 1.354
Pr 2.972 7.109 1.185
Be 2.697 4.638 2.989
Be -0.704 1.787 3.576
P 1.287 0.850 3.863
P 0.707 5.575 2.703
N 3.382 4.481 4.448
N -1.389 1.943 2.118
```

Fermi-level density of states = 2.4 states/eV/cell
Raw formation energy = -1.17 eV/atom
M_tot = 0.000 μB/f.u.


Below is Mn2AgP after structural relaxation, with properties calculated at the PBE level.

extended XYZ file:
```
4
Lattice="-3.047 -2.949 -0.528 -1.781 -3.259 2.114 -3.767 2.821 2.137" Properties=species:S:1:pos:R:3 pbc="T T T"
Ag -2.162 -1.021 0.917
Mn -3.668 2.615 2.065
Mn -6.273 -2.652 2.696
P -4.558 -1.202 2.044
```

Fermi-level density of states = 2.3 states/eV/cell
Formation energy = 14.8 kJ per mole of atoms
M_tot = 5.720 μB/f.u.


Below is CrNiAuC after structural relaxation, with properties calculated at the PBE level.

extended XYZ file:
```
8
Lattice="2.996 0.000 0.000 0.000 3.730 0.000 0.000 0.000 9.696" Properties=species:S:1:pos:R:3 pbc="T T T"
Ni 1.498 0.000 8.222
Ni 1.498 1.865 3.374
C 1.498 0.000 3.263
C 1.498 1.865 8.111
Au 1.498 0.000 1.150
Au 1.498 1.865 5.998
Cr 0.000 0.000 4.459
Cr 0.000 1.865 9.307
```

Fermi-level density of states = 7.3 states/eV/cell
E above lowest polymorph = 288 meV per atom
Formation energy = 39.3 kJ per mole of atoms
M_tot = 2.072 μB/f.u.


Below is La4NdTm5 after structural relaxation, with properties calculated at the PBE level.

extended XYZ file:
```
10
Lattice="6.079 0.000 0.000 3.040 7.555 0.000 3.040 0.000 7.555" Properties=species:S:1:pos:R:3 pbc="T T T"
La 5.934 2.446 5.107
La 8.974 5.107 5.109
La 2.894 2.448 2.446
La 5.934 5.109 2.448
Nd 1.207 0.000 0.000
Tm 5.669 2.862 0.002
Tm 2.629 0.002 4.693
Tm 8.709 7.553 2.862
Tm 5.669 4.693 7.553
Tm 4.118 0.000 0.000
```

Fermi-level density of states = 13.4 states/eV/cell
E above lowest polymorph = 208 meV per atom
Formation energy = 22.8 kJ per mole of atoms
M_tot = 0.001 μB/f.u.